Computed, not measured: crystalline ThPS at its relaxed geometry at the PBE level of DFT.

Cell and atoms, written as CIF:
```
data_ThPS
_chemical_formula_sum 'Th2 P2 S2'
_cell_length_a 3.874
_cell_length_b 3.874
_cell_length_c 8.669
_cell_angle_alpha 90.00
_cell_angle_beta 90.00
_cell_angle_gamma 90.00
_space_group_name_H-M_alt 'I 4 m m'
_space_group_IT_number 107
_space_group_name_Hall 'I 4 -2'
loop_
_atom_site_label
_atom_site_type_symbol
_atom_site_fract_x
_atom_site_fract_y
_atom_site_fract_z
Th1 Th 0.000 0.000 0.000
P1 P 0.000 0.000 0.371
S1 S 0.000 0.000 0.641
```

- Total energy: -6.812 eV/atom
- N(E_F): 2.33 states/eV/f.u.
- E_form (uncorrected): -1.16 eV per atom